No. 1
The following is a PBE-GGA calculation of a geometry-optimized ThTeCl structure, from Alexandria via LeMat-Bulk.

ΔE_f (raw) in meV per atom: -1389
Density in g/cm³: 6.945
SG: I4mm (107)
Magnetic moment in μB/cell: 0.000
Total DFT energy (no corrections) in eV per cell: -16.57
V in A^3/atom: 31.49

a = 3.718 Å, b = 3.718 Å, c = 7.323 Å
α = 104.70°, β = 104.70°, γ = 90.00°
Element x y z (fractional)
1 Te 0.038 0.038 0.077
2 Th 0.670 0.670 0.340
3 Cl 0.291 0.291 0.583

---

No. 2
The following is a PBE-GGA calculation of a geometry-optimized NpAl4PtAu2 structure, from Alexandria via LeMat-Bulk.

Formation enthalpy at 0 K in eV/f.u.: -3.33
Density in g/cm³: 10.484
SG: R-3m (166)
Magnetic moment in μB/cell: 4.375
Total DFT energy (no corrections) in eV per cell: -43.84
V in A^3/atom: 18.49

a = 4.353 Å, b = 4.353 Å, c = 9.359 Å
α = 76.55°, β = 76.55°, γ = 60.00°
Each line ends with the local moment (μB).
Element x y z (fractional)
1 Np 0.000 0.000 0.000  3.94
2 Al 0.404 0.404 0.788  0.00
3 Al 0.867 0.867 0.398  0.00
4 Al 0.133 0.133 0.602  0.00
5 Al 0.596 0.596 0.212  0.00
6 Pt 0.500 0.500 0.500  0.00
7 Au 0.746 0.746 0.761  0.01
8 Au 0.254 0.254 0.239  0.01